Entry 1:
K2SrBr: relaxed, GGA-PBE.

Geometry as POSCAR:
```
K2SrBr
1.0
-4.0565 -0.8651 5.3510
-0.8704 5.0384 4.4377
-5.9314 3.2493 0.3119
Sr K Br
1 2 1
Direct
0.5000 0.5000 0.5000 Sr
0.2500 0.2500 0.2500 K
0.7500 0.7500 0.7500 K
0.0000 0.0000 0.0000 Br
```

Output
Distance to the lowest polymorph of the same formula (eV/atom): 0.478
Uncorrected formation energy (eV per atom): -0.300
VASP energy (eV per formula unit): -6.7

---

Entry 2:
Ac2PmScS6: relaxed, GGA-PBE.

Geometry as POSCAR:
```
Ac2PmScS6
1.0
6.8973 0.0000 -0.0676
0.0000 7.4904 0.0000
-0.0367 0.0000 10.0551
Ac Pm Sc S
4 2 2 12
Direct
0.0303 0.9127 0.2486 Ac
0.5303 0.5873 0.7486 Ac
0.9697 0.0873 0.7514 Ac
0.4697 0.4127 0.2514 Ac
0.5000 0.0000 0.0000 Pm
0.0000 0.5000 0.5000 Pm
0.5000 0.0000 0.5000 Sc
0.0000 0.5000 0.0000 Sc
0.3048 0.6829 0.0601 S
0.8048 0.8171 0.5601 S
0.6952 0.3171 0.9399 S
0.1952 0.1829 0.4399 S
0.3252 0.6993 0.4372 S
0.8252 0.8007 0.9372 S
0.6748 0.3007 0.5628 S
0.1748 0.1993 0.0628 S
0.8778 0.5391 0.2389 S
0.3777 0.9609 0.7389 S
0.1222 0.4609 0.7611 S
0.6222 0.0391 0.2611 S
```

Output
Uncorrected formation energy (eV per atom): -2.096
VASP energy (eV per formula unit): -65.0

---

Entry 3:
USbSe: relaxed, GGA-PBE.

Geometry as POSCAR:
```
USbSe
1.0
3.6994 0.0000 0.0000
0.0000 3.6994 0.0000
-1.8497 -1.8497 5.4150
Sb U Se
1 1 1
Direct
0.0056 0.0056 0.0112 Sb
0.6884 0.6884 0.3767 U
0.3061 0.3061 0.6121 Se
```

Output
Distance to the lowest polymorph of the same formula (eV/atom): 0.271
Uncorrected formation energy (eV per atom): -0.533
VASP energy (eV per formula unit): -20.5

---

Entry 4:
LaTe2Pb2: relaxed, GGA-PBE.

Geometry as POSCAR:
```
LaTe2Pb2
1.0
-3.0027 -5.3918 -0.4860
5.3390 -3.0413 0.7552
0.4932 -4.2564 4.7463
Pb Te La
2 2 1
Direct
0.3430 0.3430 0.3140 Pb
0.6570 0.6570 0.6860 Pb
0.7500 0.2500 0.5000 Te
0.2500 0.7500 0.5000 Te
0.0000 0.0000 0.0000 La
```

Output
Distance to the lowest polymorph of the same formula (eV/atom): 0.184
Uncorrected formation energy (eV per atom): -0.405
VASP energy (eV per formula unit): -20.7

---

Entry 5:
Pm3Pu2Rh3: relaxed, GGA-PBE.

Geometry as POSCAR:
```
Pm3Pu2Rh3
1.0
3.6133 0.0000 0.0000
0.0000 5.0201 0.0000
-1.8067 -2.5101 10.2441
Pm Pu Rh
3 2 3
Direct
0.6164 0.6164 0.2328 Pm
0.3836 0.3836 0.7672 Pm
0.5000 0.0000 0.0000 Pm
0.7317 0.2317 0.4635 Pu
0.2683 0.7683 0.5365 Pu
0.1263 0.1263 0.2525 Rh
0.0000 0.5000 0.0000 Rh
0.8737 0.8737 0.7475 Rh
```

Output
Distance to the lowest polymorph of the same formula (eV/atom): 0.050
VASP energy (eV per formula unit): -68.5

---

Entry 6:
FePCSe: relaxed, GGA-PBE.

Geometry as POSCAR:
```
FePCSe
1.0
-3.1426 1.4069 0.6723
-0.4360 -1.0559 3.4534
0.9558 4.7593 1.6885
P C Fe Se
1 1 1 1
Direct
0.6915 0.0055 0.1288 P
0.2794 0.3441 0.2918 C
0.7465 0.4982 0.3789 Fe
0.5529 0.0148 0.6998 Se
```

Output
Distance to the lowest polymorph of the same formula (eV/atom): 0.154
Uncorrected formation energy (eV per atom): 0.434
VASP energy (eV per formula unit): -24.8

---

Entry 7:
LiCeHg4: relaxed, GGA-PBE.

Geometry as POSCAR:
```
LiCeHg4
1.0
3.2235 0.0000 0.0365
0.0000 5.0271 0.0000
-0.0317 0.0000 8.8647
Li Ce Hg
1 1 4
Direct
0.5000 0.5000 0.5000 Li
0.5000 0.0000 0.0000 Ce
0.0047 0.0000 0.6584 Hg
0.0034 0.5000 0.8252 Hg
0.9953 0.0000 0.3416 Hg
0.9966 0.5000 0.1748 Hg
```

Output
Distance to the lowest polymorph of the same formula (eV/atom): 0.000
VASP energy (eV per formula unit): -10.7

---

Entry 8:
CuSbI3: relaxed, GGA-PBE.

Geometry as POSCAR:
```
CuSbI3
1.0
5.3657 0.0000 0.0000
0.0000 5.3657 0.0000
0.0000 0.0000 5.3657
I Sb Cu
3 1 1
Direct
0.0000 0.5000 0.0000 I
0.0000 0.0000 0.5000 I
0.5000 0.0000 0.0000 I
0.5000 0.5000 0.5000 Sb
0.0000 0.0000 0.0000 Cu
```

Output
Distance to the lowest polymorph of the same formula (eV/atom): 0.000
Uncorrected formation energy (eV per atom): 0.276
VASP energy (eV per formula unit): -11.5

---

Entry 9:
BaGeH2Cl: relaxed, GGA-PBE.

Geometry as POSCAR:
```
BaGeH2Cl
1.0
-0.7683 4.1298 0.9412
-5.2942 -1.3672 1.6775
1.4362 -0.6458 4.0064
H Ge Ba Cl
2 1 1 1
Direct
0.0000 0.0000 0.5000 H
0.5000 0.0000 0.0000 H
0.0000 0.0000 0.0000 Ge
0.5000 0.5000 0.5000 Ba
0.0000 0.5000 0.0000 Cl
```

Output
Distance to the lowest polymorph of the same formula (eV/atom): 0.000
VASP energy (eV per formula unit): -16.7

---

Entry 10:
Rb2AuI4: relaxed, GGA-PBE.

Geometry as POSCAR:
```
Rb2AuI4
1.0
-2.4151 -3.6094 -3.7795
2.3634 -4.4678 2.7565
-7.5904 -4.6800 4.9349
I Au Rb
4 1 2
Direct
0.1609 0.1609 0.6783 I
0.8391 0.8391 0.3217 I
0.0000 0.5000 0.0000 I
0.5000 0.0000 0.0000 I
0.0000 0.0000 0.0000 Au
0.3607 0.3607 0.2787 Rb
0.6393 0.6393 0.7213 Rb
```

Output
Uncorrected formation energy (eV per atom): -0.833
VASP energy (eV per formula unit): -17.2

---

Entry 11:
BaCa3Rh: relaxed, GGA-PBE.

Geometry as POSCAR:
```
BaCa3Rh
1.0
-24.2741 -1.5140 -8.0869
0.3222 -6.7365 0.2942
7.8287 0.6966 7.3774
Ca Rh Ba
12 4 4
Direct
0.1717 0.7417 0.5138 Ca
0.8283 0.2583 0.4862 Ca
0.3283 0.2417 0.9862 Ca
0.6717 0.7583 0.0138 Ca
0.4688 0.2498 0.6548 Ca
0.5312 0.7502 0.3452 Ca
0.0312 0.7498 0.8452 Ca
0.9688 0.2502 0.1548 Ca
0.4213 0.7267 0.7668 Ca
0.5787 0.2733 0.2332 Ca
0.0787 0.2267 0.7332 Ca
0.9213 0.7733 0.2668 Ca
0.1245 0.9991 0.6128 Rh
0.8755 0.0009 0.3872 Rh
0.3755 0.4991 0.8872 Rh
0.6245 0.5009 0.1128 Rh
0.2947 0.7459 0.1315 Ba
0.7053 0.2541 0.8685 Ba
0.2053 0.2459 0.3685 Ba
0.7947 0.7541 0.6315 Ba
```

Output
Distance to the lowest polymorph of the same formula (eV/atom): 0.020
VASP energy (eV per formula unit): -16.3

---

Entry 12:
Rb5Hf2S6: relaxed, GGA-PBE.

Geometry as POSCAR:
```
Rb5Hf2S6
1.0
7.8375 0.1243 1.0443
3.1193 7.1911 1.0443
0.6950 0.4640 17.5188
Rb Hf S
10 4 12
Direct
0.6869 0.2098 0.9992 Rb
0.7902 0.3131 0.5008 Rb
0.3131 0.7902 0.0008 Rb
0.2098 0.6869 0.4992 Rb
0.7349 0.9507 0.7241 Rb
0.0493 0.2651 0.7759 Rb
0.2651 0.0493 0.2759 Rb
0.9507 0.7349 0.2241 Rb
0.3562 0.6438 0.7500 Rb
0.6438 0.3562 0.2500 Rb
0.3550 0.0985 0.5728 Hf
0.9015 0.6450 0.9272 Hf
0.6450 0.9015 0.4272 Hf
0.0985 0.3550 0.0728 Hf
0.0946 0.0250 0.6269 S
0.9750 0.9054 0.8731 S
0.9054 0.9750 0.3731 S
0.0250 0.0946 0.1269 S
0.3892 0.3187 0.6400 S
0.6813 0.6108 0.8600 S
0.6108 0.6813 0.3600 S
0.3187 0.3892 0.1400 S
0.6429 0.8029 0.5688 S
0.1971 0.3571 0.9312 S
0.3571 0.1971 0.4312 S
0.8029 0.6429 0.0688 S
```

Output
Uncorrected formation energy (eV per atom): -1.381
VASP energy (eV per formula unit): -67.5

---

Entry 13:
TiTcRhN2: relaxed, GGA-PBE.

Geometry as POSCAR:
```
TiTcRhN2
1.0
3.8034 0.0000 0.0000
0.0000 5.2018 0.0000
0.0000 0.0000 3.8034
N Rh Tc Ti
2 1 1 1
Direct
0.0000 0.0000 0.5000 N
0.5000 0.0000 0.0000 N
0.5000 0.5000 0.5000 Rh
0.0000 0.5000 0.0000 Tc
0.0000 0.0000 0.0000 Ti
```

Output
Uncorrected formation energy (eV per atom): 1.238
VASP energy (eV per formula unit): -36.1

---

Entry 14:
Ta4TiFe5: relaxed, GGA-PBE.

Geometry as POSCAR:
```
Ta4TiFe5
1.0
3.0421 0.0000 0.0000
0.0000 3.0421 0.0000
0.0000 0.0000 15.2502
Ta Ti Fe
4 1 5
Direct
0.0000 0.0000 0.1958 Ta
0.0000 0.0000 0.3985 Ta
0.0000 0.0000 0.6015 Ta
0.0000 0.0000 0.8042 Ta
0.0000 0.0000 0.0000 Ti
0.5000 0.5000 0.0965 Fe
0.5000 0.5000 0.2969 Fe
0.5000 0.5000 0.5000 Fe
0.5000 0.5000 0.7031 Fe
0.5000 0.5000 0.9035 Fe
```

Output
VASP energy (eV per formula unit): -99.6

---

Entry 15:
Th3Ga2Cu3: relaxed, GGA-PBE.

Geometry as POSCAR:
```
Th3Ga2Cu3
1.0
4.3595 0.0000 0.0000
-2.1798 5.3962 0.0000
0.0000 0.0000 14.3958
Th Ga Cu
6 4 6
Direct
0.9114 0.8228 0.3900 Th
0.0886 0.1772 0.8900 Th
0.9114 0.8228 0.1100 Th
0.0886 0.1772 0.6100 Th
0.6225 0.2451 0.2500 Th
0.3775 0.7549 0.7500 Th
0.7951 0.5902 0.9034 Ga
0.2049 0.4098 0.4034 Ga
0.7951 0.5902 0.5966 Ga
0.2049 0.4098 0.0966 Ga
0.6133 0.2266 0.4646 Cu
0.3867 0.7734 0.9646 Cu
0.6133 0.2266 0.0354 Cu
0.3867 0.7734 0.5354 Cu
0.3330 0.6659 0.2500 Cu
0.6670 0.3341 0.7500 Cu
```

Output
VASP energy (eV per formula unit): -43.2

---

Entry 16:
GaTe3: relaxed, GGA-PBE.

Geometry as POSCAR:
```
GaTe3
1.0
4.3552 0.0000 0.0000
0.0000 4.3619 0.0000
0.0000 0.0000 6.3414
Te Ga
3 1
Direct
0.5000 0.3336 0.0000 Te
0.5000 0.3331 0.5000 Te
0.0000 0.8330 0.5000 Te
0.0000 0.8337 0.0000 Ga
```

Output
Uncorrected formation energy (eV per atom): -0.053
VASP energy (eV per formula unit): -12.7

---

Entry 17:
BaU4S8: relaxed, GGA-PBE.

Geometry as POSCAR:
```
BaU4S8
1.0
-7.0929 0.6224 4.2345
-1.4091 -4.9728 6.4740
0.0211 3.0968 7.6835
Ba U S
1 4 8
Direct
0.7500 0.7500 0.7500 Ba
0.8847 0.3718 0.3718 U
0.3718 0.8847 0.3718 U
0.3718 0.3718 0.8847 U
0.3718 0.3718 0.3718 U
0.5797 0.1401 0.1401 S
0.1401 0.5797 0.1401 S
0.1401 0.1401 0.5797 S
0.1401 0.1401 0.1401 S
0.1846 0.6051 0.6051 S
0.6051 0.1846 0.6051 S
0.6051 0.6051 0.1846 S
0.6051 0.6051 0.6051 S
```

Output
Distance to the lowest polymorph of the same formula (eV/atom): 0.053
Uncorrected formation energy (eV per atom): -1.443
VASP energy (eV per formula unit): -98.8

---

Entry 18:
Nd2Sm3Tm7: relaxed, GGA-PBE.

Geometry as POSCAR:
```
Nd2Sm3Tm7
1.0
3.5963 0.0000 0.0000
0.0000 5.6727 0.0000
0.0000 -2.8363 18.9554
Nd Sm Tm
2 3 7
Direct
0.0000 0.8537 0.7074 Nd
0.0000 0.1463 0.2926 Nd
0.5000 0.5000 0.0000 Sm
0.5000 0.6860 0.3720 Sm
0.5000 0.3140 0.6280 Sm
0.0000 0.4111 0.8222 Tm
0.0000 0.7697 0.5393 Tm
0.0000 0.0000 0.0000 Tm
0.0000 0.5889 0.1778 Tm
0.5000 0.0706 0.1411 Tm
0.5000 0.9294 0.8589 Tm
0.0000 0.2303 0.4607 Tm
```

Output
Distance to the lowest polymorph of the same formula (eV/atom): 0.018
VASP energy (eV per formula unit): -53.7

---

Entry 19:
Cs2K4RbHg: relaxed, GGA-PBE.

Geometry as POSCAR:
```
Cs2K4RbHg
1.0
-6.8142 10.2982 -2.0394
-7.0727 -6.6533 -7.8966
-0.7894 -3.0553 8.8772
Cs K Rb Hg
4 8 2 2
Direct
0.5000 0.0000 0.0000 Cs
0.5000 0.0000 0.5000 Cs
0.0000 0.0000 0.5000 Cs
0.5000 0.5000 0.0000 Cs
0.1821 0.8013 0.9915 K
0.6987 0.3179 0.5085 K
0.3013 0.6821 0.4915 K
0.8179 0.1987 0.0085 K
0.7548 0.7458 0.9574 K
0.7542 0.7452 0.5427 K
0.2458 0.2548 0.4573 K
0.2452 0.2542 0.0427 K
0.0000 0.5000 0.0000 Rb
0.0000 0.5000 0.5000 Rb
0.5000 0.5000 0.5000 Hg
0.0000 0.0000 0.0000 Hg
```

Output
VASP energy (eV per formula unit): -7.2

---

Entry 20:
Li3Pm3HfS8: relaxed, GGA-PBE.

Geometry as POSCAR:
```
Li3Pm3HfS8
1.0
-7.7331 -1.1312 1.5124
2.5555 0.4817 -7.5227
1.7482 -6.0395 4.4212
Li Pm Hf S
3 3 1 8
Direct
0.0000 0.0000 0.0000 Li
0.0000 0.5000 0.0000 Li
0.5000 0.5000 0.0000 Li
0.5000 0.0000 0.5000 Pm
0.5000 0.5000 0.5000 Pm
0.0000 0.5000 0.5000 Pm
0.0000 0.0000 0.5000 Hf
0.2478 0.4957 0.2437 S
0.7522 0.5043 0.7563 S
0.7667 0.5333 0.2587 S
0.2333 0.4667 0.7413 S
0.7667 0.9918 0.2587 S
0.2333 0.0082 0.7413 S
0.2251 0.9918 0.2587 S
0.7749 0.0082 0.7413 S
```

Output
Uncorrected formation energy (eV per atom): -1.760
VASP energy (eV per formula unit): -89.4

---

Entry 21:
Cu2SnTe2: relaxed, GGA-PBE.

Geometry as POSCAR:
```
Cu2SnTe2
1.0
5.9461 -0.2295 -2.1683
-1.7645 5.8325 -2.4898
0.0834 0.2630 7.9670
Cu Sn Te
4 2 4
Direct
0.9314 0.3513 0.0513 Cu
0.6199 0.7000 0.0513 Cu
0.3801 0.3000 0.9487 Cu
0.0686 0.6487 0.9487 Cu
0.3602 0.1102 0.2205 Sn
0.6398 0.8898 0.7795 Sn
0.6233 0.3733 0.7466 Te
0.1275 0.8775 0.7550 Te
0.8725 0.1225 0.2450 Te
0.3767 0.6267 0.2534 Te
```

Output
Uncorrected formation energy (eV per atom): -0.078
VASP energy (eV per formula unit): -18.9

---

Entry 22:
YMgP2: relaxed, GGA-PBE.

Geometry as POSCAR:
```
YMgP2
1.0
7.1051 0.0000 0.0000
0.0000 7.1051 0.0000
3.5526 3.5526 3.3681
Y P Mg
2 4 2
Direct
0.0000 0.0000 0.0000 Y
0.7500 0.2500 0.5000 Y
0.6022 0.1250 0.2500 P
0.1478 0.6250 0.2500 P
0.3750 0.3978 0.7500 P
0.8750 0.8522 0.7500 P
0.5000 0.5000 0.0000 Mg
0.2500 0.7500 0.5000 Mg
```

Output
VASP energy (eV per formula unit): -21.7